No. 1
{
  "formula": "HfBe2WI",
  "functional": "PBE",
  "state": "relaxed",
  "lattice_angstrom": [[-0.1061, 2.7588, -3.4317], [-1.6928, -3.9385, -3.1138], [-4.1722, 1.0340, 0.9603]],
  "species": ["I", "W", "Be", "Be", "Hf"],
  "fractional_positions": [[0.0000, 0.0000, 0.0000], [0.5000, 0.5000, 0.5000], [0.5000, 0.0000, 0.0000], [0.0000, 0.0000, 0.5000], [0.0000, 0.5000, 0.0000]],
  "space_group": "No. 123",
  "magmom_total_mub_per_cell": 0.99,
  "formation_energy_uncorrected_ev_per_atom": 2.0891
}

=====

No. 2
{
  "formula": "Hf2BeIn",
  "functional": "PBE",
  "state": "relaxed",
  "lattice_angstrom": [[0.0000, 3.3600, 3.3600], [3.3600, 0.0000, 3.3600], [3.3600, 3.3600, 0.0000]],
  "species": ["In", "Hf", "Hf", "Be"],
  "fractional_positions": [[0.5000, 0.5000, 0.5000], [0.2500, 0.2500, 0.2500], [0.7500, 0.7500, 0.7500], [0.0000, 0.0000, 0.0000]],
  "space_group": "No. 225",
  "final_energy_ev_per_atom": -6.464,
  "magmom_total_mub_per_cell": 0.00
}

=====

No. 3
{
  "formula": "Hf3BeIn",
  "functional": "PBE",
  "state": "relaxed",
  "lattice_angstrom": [[4.7001, 0.0000, 0.0000], [0.0000, 4.7001, 0.0000], [0.0000, 0.0000, 4.7001]],
  "species": ["Hf", "Hf", "Hf", "Be", "In"],
  "fractional_positions": [[0.0000, 0.0000, 0.5000], [0.5000, 0.0000, 0.0000], [0.0000, 0.5000, 0.0000], [0.0000, 0.0000, 0.0000], [0.5000, 0.5000, 0.5000]],
  "space_group": "No. 221",
  "final_energy_ev_per_atom": -7.190,
  "magmom_total_mub_per_cell": 0.00
}

=====

No. 4
{
  "formula": "Hf2BeIn",
  "functional": "PBE",
  "state": "relaxed",
  "lattice_angstrom": [[-6.9770, -1.8276, 1.8764], [2.6190, -4.9481, 4.9190], [-2.1637, -1.3564, 5.4330]],
  "species": ["Be", "Be", "In", "In", "Hf", "Hf", "Hf", "Hf"],
  "fractional_positions": [[0.2500, 0.7500, 0.5000], [0.5000, 0.5000, 0.0000], [0.0000, 0.0000, 0.0000], [0.7500, 0.2500, 0.5000], [0.8750, 0.8374, 0.7500], [0.3750, 0.4126, 0.7500], [0.1626, 0.6250, 0.2500], [0.5874, 0.1250, 0.2500]],
  "space_group": "No. 122",
  "final_energy_ev_per_atom": -6.240,
  "magmom_total_mub_per_cell": 0.00
}

=====

No. 5
{
  "formula": "HfBeIn2",
  "functional": "PBE",
  "state": "relaxed",
  "lattice_angstrom": [[7.5370, 0.0000, 0.0000], [0.0000, 7.5370, 0.0000], [3.7685, 3.7685, 2.8046]],
  "species": ["In", "In", "In", "In", "Be", "Be", "Hf", "Hf"],
  "fractional_positions": [[0.1847, 0.6250, 0.2500], [0.8750, 0.8153, 0.7500], [0.5653, 0.1250, 0.2500], [0.3750, 0.4347, 0.7500], [0.5000, 0.5000, 0.0000], [0.2500, 0.7500, 0.5000], [0.0000, 0.0000, 0.0000], [0.7500, 0.2500, 0.5000]],
  "space_group": "No. 122",
  "final_energy_ev_per_atom": -4.541,
  "magmom_total_mub_per_cell": 0.00
}

=====

No. 6
{
  "formula": "Hf2BeIn",
  "functional": "PBE",
  "state": "relaxed",
  "lattice_angstrom": [[-1.0496, 2.5240, 1.2463], [-2.3698, -0.0745, -1.8450], [-4.1517, -4.4481, 5.5122]],
  "species": ["Hf", "Hf", "Be", "In"],
  "fractional_positions": [[0.0000, 0.0000, 0.7945], [0.0000, 0.0000, 0.2055], [0.5000, 0.5000, 0.0000], [0.5000, 0.5000, 0.5000]],
  "space_group": "No. 123",
  "final_energy_ev_per_atom": -6.679,
  "magmom_total_mub_per_cell": 0.00
}